{
  "formula": "Ca2Co2O5",
  "functional": "PBE with a Hubbard U",
  "state": "relaxed",
  "lattice_angstrom": [[5.2578, 0.0000, 0.0000], [0.0000, 5.1922, 0.0000], [-0.2660, 0.0000, 7.8671]],
  "species": ["Ca", "Ca", "Ca", "Ca", "Co", "Co", "Co", "Co", "O", "O", "O", "O", "O", "O", "O", "O", "O", "O"],
  "fractional_positions": [[0.2365, 0.0000, 0.2108], [0.2557, 0.9667, 0.7033], [0.7443, 0.4667, 0.2967], [0.7635, 0.5000, 0.7892], [0.2487, 0.5228, 0.9844], [0.2497, 0.4663, 0.5285], [0.7503, 0.9663, 0.4715], [0.7513, 0.0228, 0.0156], [0.0271, 0.8260, 0.9428], [0.0502, 0.1910, 0.4473], [0.2455, 0.4048, 0.7648], [0.4381, 0.7492, 0.4586], [0.4827, 0.2912, 0.0801], [0.5173, 0.7912, 0.9199], [0.5619, 0.2492, 0.5414], [0.7545, 0.9048, 0.2352], [0.9498, 0.6910, 0.5527], [0.9729, 0.3260, 0.0572]],
  "magmom_total_mub_per_fu": 2.1,
  "dos_at_fermi_per_ev_cell": 9.6,
  "energy_ev_per_fu": -54.19
}